P | Entry from the Alexandria database: a relaxed ZnTcBi3 crystal (PBE).

Summary:
* calculated volume: 30.206 Å³/atom

a = 5.3254 Å, b = 5.3254 Å, c = 5.3254 Å
α = 90.00°, β = 90.00°, γ = 90.00°
Last column: nearest neighbours and their distance in Å.
Space group Pm-3m (No. 221)
Unique sites:
Zn (0.0000, 0.0000, 0.0000)  6 Bi 2.66
Tc (0.5000, 0.5000, 0.5000)  12 Bi 3.77
Bi (0.0000, 0.0000, 0.5000)  2 Zn 2.66

=====

Q | Entry from the Alexandria database: a relaxed ZnTcBi3 crystal (PBE).

Summary:
* calculated volume: 30.266 Å³/atom

a = 5.3290 Å, b = 5.3290 Å, c = 5.3290 Å
α = 90.00°, β = 90.00°, γ = 90.00°
Last column: nearest neighbours and their distance in Å.
Space group Pm-3m (No. 221)
Unique sites:
Zn (0.0000, 0.0000, 0.0000)  12 Bi 3.77
Tc (0.5000, 0.5000, 0.5000)  6 Bi 2.66
Bi (0.0000, 0.5000, 0.5000)  2 Tc 2.66

=====

What should be chosen as the most stable of them? Choose Q.